Arrangement 1

{"formula": "ScAl3In", "functional": "PBE", "state": "relaxed", "lattice": [[5.330, 0.000, 0.000], [0.000, 5.330, 0.000], [0.000, 0.000, 5.330]], "species": ["Sc", "Al", "Al", "Al", "In"], "frac_coords": [[0.000, 0.000, 0.000], [0.000, 0.000, 0.500], [0.000, 0.500, 0.000], [0.500, 0.000, 0.000], [0.500, 0.500, 0.500]]}

=====

Arrangement 2

{"formula": "ScAl3In", "functional": "PBE", "state": "relaxed", "lattice": [[5.119, 0.000, 0.000], [0.000, 5.119, 0.000], [0.000, 0.000, 5.119]], "species": ["Sc", "Al", "Al", "Al", "In"], "frac_coords": [[0.000, 0.000, 0.000], [0.000, 0.500, 0.500], [0.500, 0.000, 0.500], [0.500, 0.500, 0.000], [0.500, 0.500, 0.500]]}

=====

It comes down to arrangement 2, which is 23 meV/atom more stable than the next structure.

=====

Arrangement 1

{"formula": "Sc2Al2In", "functional": "PBE", "state": "relaxed", "lattice": [[4.405, 0.000, 0.000], [0.000, 14.197, 0.000], [0.000, 0.000, 3.205]], "species": ["Sc", "Sc", "Sc", "Sc", "Al", "Al", "Al", "Al", "In", "In"], "frac_coords": [[0.000, 0.119, 0.000], [0.000, 0.881, 0.000], [0.500, 0.381, 0.000], [0.500, 0.619, 0.000], [0.000, 0.298, 0.500], [0.000, 0.702, 0.500], [0.500, 0.202, 0.500], [0.500, 0.798, 0.500], [0.000, 0.500, 0.500], [0.500, 0.000, 0.500]]}

=====

Arrangement 2

{"formula": "Sc2Al2In", "functional": "PBE", "state": "relaxed", "lattice": [[7.690, 0.000, 0.000], [0.000, 7.690, 0.000], [0.000, 0.000, 3.446]], "species": ["Sc", "Sc", "Sc", "Sc", "Al", "Al", "Al", "Al", "In", "In"], "frac_coords": [[0.178, 0.322, 0.000], [0.322, 0.822, 0.000], [0.678, 0.178, 0.000], [0.822, 0.678, 0.000], [0.119, 0.619, 0.500], [0.381, 0.119, 0.500], [0.619, 0.881, 0.500], [0.881, 0.381, 0.500], [0.000, 0.000, 0.500], [0.500, 0.500, 0.500]]}

=====

Arrangement 3

{"formula": "Sc2Al2In", "functional": "PBE", "state": "relaxed", "lattice": [[8.127, 0.000, 0.000], [0.000, 8.127, 0.000], [0.000, 0.000, 3.333]], "species": ["Sc", "Sc", "Sc", "Sc", "Al", "Al", "Al", "Al", "In", "In"], "frac_coords": [[0.177, 0.323, 0.000], [0.323, 0.823, 0.000], [0.677, 0.177, 0.000], [0.823, 0.677, 0.000], [0.118, 0.618, 0.500], [0.382, 0.118, 0.500], [0.618, 0.882, 0.500], [0.882, 0.382, 0.500], [0.000, 0.000, 0.000], [0.500, 0.500, 0.000]]}

=====

It comes down to arrangement 1, which is 77 meV/atom more stable than the next structure.

=====

Arrangement 1

{"formula": "AlIn2Se", "functional": "PBE", "state": "relaxed", "lattice": [[4.943, 0.000, 0.000], [0.000, 4.962, 0.000], [0.000, 0.000, 7.833]], "species": ["Al", "Al", "In", "In", "In", "In", "Se", "Se"], "frac_coords": [[0.000, 0.000, 0.000], [0.500, 0.500, 0.000], [0.000, 0.000, 0.558], [0.000, 0.500, 0.267], [0.500, 0.000, 0.267], [0.500, 0.500, 0.558], [0.000, 0.500, 0.861], [0.500, 0.000, 0.861]]}

=====

Arrangement 2

{"formula": "AlIn2Se", "functional": "PBE", "state": "relaxed", "lattice": [[3.523, 0.000, 0.000], [0.000, 5.488, 0.000], [0.000, 0.000, 10.255]], "species": ["Al", "Al", "In", "In", "In", "In", "Se", "Se"], "frac_coords": [[0.000, 0.000, 0.000], [0.500, 0.500, 0.500], [0.000, 0.000, 0.532], [0.000, 0.500, 0.747], [0.500, 0.000, 0.247], [0.500, 0.500, 0.032], [0.000, 0.500, 0.328], [0.500, 0.000, 0.828]]}

=====

Arrangement 3

{"formula": "AlIn2Se", "functional": "PBE", "state": "relaxed", "lattice": [[4.342, 0.000, 0.000], [0.000, 4.342, 0.000], [0.000, 0.000, 10.368]], "species": ["Al", "Al", "In", "In", "In", "In", "Se", "Se"], "frac_coords": [[0.000, 0.000, 0.000], [0.500, 0.500, 0.500], [0.000, 0.000, 0.500], [0.000, 0.500, 0.750], [0.500, 0.000, 0.250], [0.500, 0.500, 0.000], [0.000, 0.500, 0.250], [0.500, 0.000, 0.750]]}

=====

It comes down to arrangement 2, which is 22 meV/atom more stable than the next structure.

=====

Arrangement 1

{"formula": "AlIn2Se", "functional": "PBE", "state": "relaxed", "lattice": [[3.535, 0.000, 0.000], [0.000, 4.103, 0.000], [0.000, 0.000, 14.015]], "species": ["Al", "Al", "In", "In", "In", "In", "Se", "Se"], "frac_coords": [[0.000, 0.000, 0.000], [0.500, 0.500, 0.500], [0.000, 0.500, 0.318], [0.000, 0.500, 0.682], [0.500, 0.000, 0.182], [0.500, 0.000, 0.818], [0.000, 0.000, 0.500], [0.500, 0.500, 0.000]]}

=====

Arrangement 2

{"formula": "AlIn2Se", "functional": "PBE", "state": "relaxed", "lattice": [[7.322, 0.000, 0.000], [0.000, 7.322, 0.000], [0.000, 0.000, 7.322]], "species": ["Al", "Al", "Al", "Al", "In", "In", "In", "In", "In", "In", "In", "In", "Se", "Se", "Se", "Se"], "frac_coords": [[0.000, 0.000, 0.000], [0.000, 0.500, 0.500], [0.500, 0.000, 0.500], [0.500, 0.500, 0.000], [0.250, 0.250, 0.250], [0.250, 0.250, 0.750], [0.250, 0.750, 0.250], [0.250, 0.750, 0.750], [0.750, 0.250, 0.250], [0.750, 0.250, 0.750], [0.750, 0.750, 0.250], [0.750, 0.750, 0.750], [0.000, 0.000, 0.500], [0.000, 0.500, 0.000], [0.500, 0.000, 0.000], [0.500, 0.500, 0.500]]}

=====

It comes down to arrangement 1, which is 196 meV/atom more stable than the next structure.

=====

Arrangement 1

{"formula": "AlIn2Se", "functional": "PBE", "state": "relaxed", "lattice": [[7.316, 0.000, 0.000], [0.000, 7.316, 0.000], [0.000, 0.000, 7.316]], "species": ["Al", "Al", "Al", "Al", "In", "In", "In", "In", "In", "In", "In", "In", "Se", "Se", "Se", "Se"], "frac_coords": [[0.000, 0.000, 0.000], [0.000, 0.500, 0.500], [0.500, 0.000, 0.500], [0.500, 0.500, 0.000], [0.000, 0.000, 0.500], [0.000, 0.500, 0.000], [0.250, 0.250, 0.750], [0.250, 0.750, 0.250], [0.500, 0.000, 0.000], [0.500, 0.500, 0.500], [0.750, 0.250, 0.250], [0.750, 0.750, 0.750], [0.250, 0.250, 0.250], [0.250, 0.750, 0.750], [0.750, 0.250, 0.750], [0.750, 0.750, 0.250]]}

=====

Arrangement 2

{"formula": "AlIn2Se", "functional": "PBE", "state": "relaxed", "lattice": [[5.322, 0.000, 0.000], [0.000, 3.853, 0.000], [-2.076, 0.000, 4.915]], "species": ["Al", "In", "In", "Se"], "frac_coords": [[0.000, 0.000, 0.000], [0.256, 0.500, 0.744], [0.744, 0.500, 0.256], [0.500, 0.000, 0.500]]}

=====

Arrangement 3

{"formula": "AlIn2Se", "functional": "PBE", "state": "relaxed", "lattice": [[6.480, 0.000, 0.000], [0.000, 6.480, 0.000], [0.000, 0.000, 12.310]], "species": ["Al", "Al", "Al", "Al", "In", "In", "In", "In", "In", "In", "In", "In", "Se", "Se", "Se", "Se"], "frac_coords": [[0.000, 0.000, 0.000], [0.000, 0.500, 0.250], [0.500, 0.000, 0.750], [0.500, 0.500, 0.500], [0.243, 0.250, 0.125], [0.250, 0.743, 0.375], [0.250, 0.757, 0.875], [0.257, 0.250, 0.625], [0.743, 0.750, 0.625], [0.750, 0.243, 0.875], [0.750, 0.257, 0.375], [0.757, 0.750, 0.125], [0.000, 0.000, 0.500], [0.000, 0.500, 0.750], [0.500, 0.000, 0.250], [0.500, 0.500, 0.000]]}

=====

Arrangement 4

{"formula": "AlIn2Se", "functional": "PBE", "state": "relaxed", "lattice": [[3.937, 0.000, 0.000], [-1.969, 3.410, 0.000], [0.000, 0.000, 22.215]], "species": ["Al", "Al", "Al", "In", "In", "In", "In", "In", "In", "Se", "Se", "Se"], "frac_coords": [[0.000, 0.000, 0.000], [0.333, 0.667, 0.667], [0.667, 0.333, 0.333], [0.000, 0.000, 0.250], [0.000, 0.000, 0.750], [0.333, 0.667, 0.417], [0.333, 0.667, 0.917], [0.667, 0.333, 0.083], [0.667, 0.333, 0.583], [0.000, 0.000, 0.500], [0.333, 0.667, 0.167], [0.667, 0.333, 0.833]]}

=====

It comes down to arrangement 4, which is 38 meV/atom more stable than the next structure.

=====

Arrangement 1

{"formula": "AlTlIn2Se", "functional": "PBE", "state": "relaxed", "lattice": [[5.518, 0.000, 0.000], [0.000, 5.518, 0.000], [0.000, 0.000, 6.070]], "species": ["Al", "Tl", "In", "In", "Se"], "frac_coords": [[0.000, 0.000, 0.000], [0.500, 0.500, 0.000], [0.000, 0.500, 0.500], [0.500, 0.000, 0.500], [0.500, 0.500, 0.500]]}

=====

Arrangement 2

{"formula": "AlTlIn2Se", "functional": "PBE", "state": "relaxed", "lattice": [[5.325, 0.000, 0.000], [0.000, 5.325, 0.000], [0.000, 0.000, 5.354]], "species": ["Al", "Tl", "In", "In", "Se"], "frac_coords": [[0.000, 0.000, 0.000], [0.000, 0.000, 0.500], [0.000, 0.500, 0.000], [0.500, 0.000, 0.000], [0.500, 0.500, 0.500]]}

=====

It comes down to arrangement 2, which is 288 meV/atom more stable than the next structure.

=====

Arrangement 1

{"formula": "Al2InSi", "functional": "PBE", "state": "relaxed", "lattice": [[3.061, 0.000, 0.000], [0.000, 3.736, 0.000], [0.000, 0.000, 6.743]], "species": ["Al", "Al", "In", "Si"], "frac_coords": [[0.000, 0.000, 0.000], [0.500, 0.500, 0.230], [0.000, 0.000, 0.520], [0.500, 0.500, 0.833]]}

=====

Arrangement 2

{"formula": "Al2InSi", "functional": "PBE", "state": "relaxed", "lattice": [[6.761, 0.000, 0.000], [0.000, 6.761, 0.000], [0.000, 0.000, 6.761]], "species": ["Al", "Al", "Al", "Al", "Al", "Al", "Al", "Al", "In", "In", "In", "In", "Si", "Si", "Si", "Si"], "frac_coords": [[0.000, 0.000, 0.000], [0.000, 0.500, 0.500], [0.250, 0.250, 0.250], [0.250, 0.750, 0.750], [0.500, 0.000, 0.500], [0.500, 0.500, 0.000], [0.750, 0.250, 0.750], [0.750, 0.750, 0.250], [0.250, 0.250, 0.750], [0.250, 0.750, 0.250], [0.750, 0.250, 0.250], [0.750, 0.750, 0.750], [0.000, 0.000, 0.500], [0.000, 0.500, 0.000], [0.500, 0.000, 0.000], [0.500, 0.500, 0.500]]}

=====

Arrangement 3

{"formula": "Al2InSi", "functional": "PBE", "state": "relaxed", "lattice": [[10.328, 0.000, 0.000], [0.000, 2.994, 0.000], [-1.872, 0.000, 4.895]], "species": ["Al", "Al", "Al", "Al", "In", "In", "Si", "Si"], "frac_coords": [[0.227, 0.000, 0.228], [0.273, 0.500, 0.772], [0.727, 0.500, 0.228], [0.773, 0.000, 0.772], [0.000, 0.000, 0.500], [0.500, 0.500, 0.500], [0.000, 0.500, 0.000], [0.500, 0.000, 0.000]]}

=====

It comes down to arrangement 1, which is 24 meV/atom more stable than the next structure.

=====

Arrangement 1

{"formula": "Al2InSi", "functional": "PBE", "state": "relaxed", "lattice": [[3.060, 0.000, 0.000], [0.000, 3.745, 0.000], [-1.368, 0.000, 6.840]], "species": ["Al", "Al", "In", "Si"], "frac_coords": [[0.000, 0.000, 0.000], [0.393, 0.500, 0.772], [0.645, 0.500, 0.280], [0.820, 0.000, 0.613]]}

=====

Arrangement 2

{"formula": "Al2InSi", "functional": "PBE", "state": "relaxed", "lattice": [[3.248, 0.000, 0.000], [-1.624, 2.813, 0.000], [0.000, 0.000, 25.345]], "species": ["Al", "Al", "Al", "Al", "Al", "Al", "In", "In", "In", "Si", "Si", "Si"], "frac_coords": [[0.000, 0.000, 0.239], [0.000, 0.000, 0.761], [0.333, 0.667, 0.428], [0.333, 0.667, 0.905], [0.667, 0.333, 0.095], [0.667, 0.333, 0.572], [0.000, 0.000, 0.000], [0.333, 0.667, 0.667], [0.667, 0.333, 0.333], [0.000, 0.000, 0.500], [0.333, 0.667, 0.167], [0.667, 0.333, 0.833]]}

=====

It comes down to arrangement 1, which is 27 meV/atom more stable than the next structure.

=====

Arrangement 1

{"formula": "Al2InSi", "functional": "PBE", "state": "relaxed", "lattice": [[2.963, 0.000, 0.000], [0.000, 3.382, 0.000], [0.000, 0.000, 7.511]], "species": ["Al", "Al", "In", "Si"], "frac_coords": [[0.000, 0.000, 0.203], [0.000, 0.000, 0.797], [0.500, 0.500, 0.500], [0.500, 0.500, 0.000]]}

=====

Arrangement 2

{"formula": "Al2InSi", "functional": "PBE", "state": "relaxed", "lattice": [[6.591, 0.000, 0.000], [0.000, 6.591, 0.000], [0.000, 0.000, 9.629]], "species": ["Al", "Al", "Al", "Al", "Al", "Al", "Al", "Al", "In", "In", "In", "In", "Si", "Si", "Si", "Si"], "frac_coords": [[0.203, 0.250, 0.125], [0.250, 0.703, 0.375], [0.250, 0.797, 0.875], [0.297, 0.250, 0.625], [0.703, 0.750, 0.625], [0.750, 0.203, 0.875], [0.750, 0.297, 0.375], [0.797, 0.750, 0.125], [0.000, 0.000, 0.500], [0.000, 0.500, 0.750], [0.500, 0.000, 0.250], [0.500, 0.500, 0.000], [0.000, 0.000, 0.000], [0.000, 0.500, 0.250], [0.500, 0.000, 0.750], [0.500, 0.500, 0.500]]}

=====

Arrangement 3

{"formula": "Al2InSi", "functional": "PBE", "state": "relaxed", "lattice": [[3.778, 0.000, 0.000], [0.000, 4.481, 0.000], [0.000, 0.000, 8.961]], "species": ["Al", "Al", "Al", "Al", "In", "In", "Si", "Si"], "frac_coords": [[0.000, 0.000, 0.000], [0.000, 0.500, 0.238], [0.500, 0.000, 0.738], [0.500, 0.500, 0.500], [0.000, 0.500, 0.772], [0.500, 0.000, 0.272], [0.000, 0.000, 0.528], [0.500, 0.500, 0.028]]}

=====

It comes down to arrangement 1, which is 96 meV/atom more stable than the next structure.

=====

Arrangement 1

{"formula": "Al2InSi", "functional": "PBE", "state": "relaxed", "lattice": [[3.756, 0.000, 0.000], [0.000, 4.713, 0.000], [0.000, 0.000, 8.599]], "species": ["Al", "Al", "Al", "Al", "In", "In", "Si", "Si"], "frac_coords": [[0.000, 0.000, 0.224], [0.000, 0.000, 0.776], [0.500, 0.500, 0.276], [0.500, 0.500, 0.724], [0.000, 0.500, 0.000], [0.500, 0.000, 0.500], [0.000, 0.500, 0.500], [0.500, 0.000, 0.000]]}

=====

Arrangement 2

{"formula": "Al2InSi", "functional": "PBE", "state": "relaxed", "lattice": [[8.879, 0.000, 0.000], [0.000, 2.958, 0.000], [-0.850, 0.000, 6.006]], "species": ["Al", "Al", "Al", "Al", "In", "In", "Si", "Si"], "frac_coords": [[0.000, 0.000, 0.000], [0.244, 0.500, 0.223], [0.500, 0.500, 0.000], [0.744, 0.000, 0.223], [0.244, 0.000, 0.715], [0.744, 0.500, 0.715], [0.483, 0.000, 0.381], [0.983, 0.500, 0.381]]}

=====

It comes down to arrangement 2, which is 33 meV/atom more stable than the next structure.

=====

Arrangement 1

{"formula": "Al2InSi", "functional": "PBE", "state": "relaxed", "lattice": [[3.021, 0.000, 0.000], [0.000, 3.021, 0.000], [0.000, 0.000, 8.268]], "species": ["Al", "Al", "In", "Si"], "frac_coords": [[0.000, 0.000, 0.000], [0.500, 0.500, 0.226], [0.000, 0.000, 0.515], [0.500, 0.500, 0.797]]}

=====

Arrangement 2

{"formula": "Al2InSi", "functional": "PBE", "state": "relaxed", "lattice": [[6.264, 0.000, 0.000], [0.000, 7.669, 0.000], [0.000, 0.000, 3.145]], "species": ["Al", "Al", "Al", "Al", "In", "In", "Si", "Si"], "frac_coords": [[0.250, 0.250, 0.000], [0.250, 0.750, 0.000], [0.750, 0.250, 0.000], [0.750, 0.750, 0.000], [0.000, 0.000, 0.500], [0.500, 0.500, 0.500], [0.000, 0.500, 0.500], [0.500, 0.000, 0.500]]}

=====

It comes down to arrangement 1, which is 66 meV/atom more stable than the next structure.